VOF2: relaxed, PBE with a Hubbard U.

SG   P2, No. 3
DFT total energy   -0.2382 Ha/atom
Density of states at the Fermi level   0.0 states/eV per cell

Cell lengths 5.4417, 5.2774, 7.5880 Å; angles 90.00, 90.84, 90.00 degrees
Last column: nearest neighbours and their distance in Å.
Sites, in units of the cell vectors:
V 0.0332 0.0000 0.2449  1 O 1.66
V 0.4631 0.5037 0.7448  1 O 1.66
V 0.5369 0.5037 0.2552  1 O 1.66
V 0.9668 0.0000 0.7551  1 O 1.66
O 0.2334 0.3006 0.7133  1 V 1.66
O 0.2385 0.7724 0.2122  1 V 1.66
O 0.7615 0.7724 0.7878  1 V 1.66
O 0.7666 0.3006 0.2867  1 V 1.66
F 0.0000 0.1239 0.0000  2 V 1.98
F 0.0000 0.9442 0.5000  2 V 1.97
F 0.2635 0.2739 0.3021  2 V 1.96
F 0.2678 0.8053 0.7997  2 V 1.96
F 0.5000 0.4435 0.0000  2 V 1.97
F 0.5000 0.6247 0.5000  2 V 1.98
F 0.7322 0.8053 0.2003  2 V 1.96
F 0.7365 0.2739 0.6979  2 V 1.96